P) A relaxed TiCuI2O crystal, computed with GGA-PBE.

a b c (Å): 5.6437 5.6437 3.7364
angles (deg): 90.00 90.00 90.00
Site moments in Bohr magnetons follow the coordinates.
Fractional coordinates of all 5 atoms:
I 0.0000 0.5000 0.0000  -0.01
I 0.5000 0.0000 0.0000  -0.01
O 0.0000 0.0000 0.5000  -0.04
Cu 0.5000 0.5000 0.5000  0.02
Ti 0.0000 0.0000 0.0000  0.66

Output
calculated density = 5.32 g/cm³
N(E_F) = 1.8 states/eV/cell
total magnetization = 0.810 Bohr magnetons per cell
space group = P4/mmm

Q) A relaxed TiCuI2O crystal, computed with GGA-PBE.

a b c (Å): 5.4881 5.4881 3.5854
angles (deg): 90.00 90.00 90.00
Fractional coordinates of all 5 atoms:
I 0.0000 0.5000 0.0000
I 0.5000 0.0000 0.0000
O 0.0000 0.0000 0.5000
Cu 0.0000 0.0000 0.0000
Ti 0.5000 0.5000 0.5000

Output
calculated density = 5.86 g/cm³
N(E_F) = 8.5 states/eV/cell
total magnetization = 0.000 Bohr magnetons per cell
space group = P4/mmm

Name the most stable of them. P).